DFT (GGA-PBE) results for LiTcIrRu after structural relaxation.

**Total magnetization**: 0.0 μB per formula unit
**ΔE_f**: 0.188 eV per formula unit

Geometry as CIF:
```
data_LiTcIrRu
_cell_length_a 6.018
_cell_length_b 6.018
_cell_length_c 6.018
_cell_angle_alpha 90.00
_cell_angle_beta 90.00
_cell_angle_gamma 90.00
_space_group_name_H-M_alt 'F -4 3 m'
_space_group_IT_number 216
_space_group_name_Hall 'F -4 2 3'
loop_
_atom_site_label
_atom_site_fract_x
_atom_site_fract_y
_atom_site_fract_z
_atom_site_occupancy
Li1 0.000 0.000 0.000 1
Tc1 0.000 0.000 0.500 1
Ir1 0.250 0.250 0.750 1
Ru1 0.250 0.250 0.250 1
```


DFT (GGA-PBE) results for LiTiIrRu after structural relaxation.

**Total magnetization**: 0.0 μB per formula unit
**ΔE_f**: -1.664 eV per formula unit

Geometry as CIF:
```
data_LiTiIrRu
_cell_length_a 6.019
_cell_length_b 6.019
_cell_length_c 6.019
_cell_angle_alpha 90.00
_cell_angle_beta 90.00
_cell_angle_gamma 90.00
_space_group_name_H-M_alt 'F -4 3 m'
_space_group_IT_number 216
_space_group_name_Hall 'F -4 2 3'
loop_
_atom_site_label
_atom_site_fract_x
_atom_site_fract_y
_atom_site_fract_z
_atom_site_occupancy
Li1 0.000 0.000 0.000 1
Ti1 0.000 0.000 0.500 1
Ir1 0.250 0.250 0.250 1
Ru1 0.250 0.250 0.750 1
```


DFT (GGA-PBE) results for LiUIrRu after structural relaxation.

**Total magnetization**: 1.2 μB per formula unit
**ΔE_f**: -1.010 eV per formula unit

Geometry as CIF:
```
data_LiUIrRu
_cell_length_a 6.424
_cell_length_b 6.424
_cell_length_c 6.424
_cell_angle_alpha 90.00
_cell_angle_beta 90.00
_cell_angle_gamma 90.00
_space_group_name_H-M_alt 'F -4 3 m'
_space_group_IT_number 216
_space_group_name_Hall 'F -4 2 3'
loop_
_atom_site_label
_atom_site_fract_x
_atom_site_fract_y
_atom_site_fract_z
_atom_site_occupancy
Li1 0.000 0.000 0.000 1
U1 0.000 0.000 0.500 1
Ir1 0.250 0.250 0.250 1
Ru1 0.250 0.250 0.750 1
```


DFT (GGA-PBE) results for LiIrRuW after structural relaxation.

**Total magnetization**: 0.0 μB per formula unit
**ΔE_f**: -0.896 eV per formula unit

Geometry as CIF:
```
data_LiIrRuW
_cell_length_a 6.067
_cell_length_b 6.067
_cell_length_c 6.067
_cell_angle_alpha 90.00
_cell_angle_beta 90.00
_cell_angle_gamma 90.00
_space_group_name_H-M_alt 'F -4 3 m'
_space_group_IT_number 216
_space_group_name_Hall 'F -4 2 3'
loop_
_atom_site_label
_atom_site_fract_x
_atom_site_fract_y
_atom_site_fract_z
_atom_site_occupancy
Li1 0.000 0.000 0.000 1
Ir1 0.250 0.250 0.750 1
Ru1 0.250 0.250 0.250 1
W1 0.000 0.000 0.500 1
```


DFT (GGA-PBE) results for LiZnIrRu after structural relaxation.

**Total magnetization**: 0.0 μB per formula unit
**ΔE_f**: -0.192 eV per formula unit

Geometry as CIF:
```
data_LiZnIrRu
_cell_length_a 6.017
_cell_length_b 6.017
_cell_length_c 6.017
_cell_angle_alpha 90.00
_cell_angle_beta 90.00
_cell_angle_gamma 90.00
_space_group_name_H-M_alt 'F -4 3 m'
_space_group_IT_number 216
_space_group_name_Hall 'F -4 2 3'
loop_
_atom_site_label
_atom_site_fract_x
_atom_site_fract_y
_atom_site_fract_z
_atom_site_occupancy
Li1 0.000 0.000 0.000 1
Zn1 0.250 0.250 0.750 1
Ir1 0.000 0.000 0.500 1
Ru1 0.250 0.250 0.250 1
```


DFT (GGA-PBE) results for Li4IrS4 after structural relaxation.

**Total magnetization**: 0.0 μB per formula unit
**Raw formation energy**: -0.6928 eV per atom

Geometry as CIF:
```
data_Li4IrS4
_cell_length_a 6.272
_cell_length_b 6.272
_cell_length_c 8.883
_cell_angle_alpha 90.00
_cell_angle_beta 90.00
_cell_angle_gamma 90.00
_space_group_name_H-M_alt 'I -4 2 m'
_space_group_IT_number 121
_space_group_name_Hall 'I -4 2'
loop_
_atom_site_label
_atom_site_fract_x
_atom_site_fract_y
_atom_site_fract_z
_atom_site_occupancy
Li1 0.000 0.000 0.190 1
Li2 0.000 0.500 0.000 1
Ir1 0.000 0.000 0.500 1
S1 0.232 0.232 0.608 1
```


DFT (GGA-PBE) results for Li2IrS2 after structural relaxation.

**Total magnetization**: 0.0 μB per formula unit
**Raw formation energy**: -0.6191 eV per atom

Geometry as CIF:
```
data_Li2IrS2
_cell_length_a 6.432
_cell_length_b 6.432
_cell_length_c 3.502
_cell_angle_alpha 90.00
_cell_angle_beta 90.00
_cell_angle_gamma 90.00
_space_group_name_H-M_alt 'P 4/m b m'
_space_group_IT_number 127
_space_group_name_Hall '-P 4 2ab'
loop_
_atom_site_label
_atom_site_fract_x
_atom_site_fract_y
_atom_site_fract_z
_atom_site_occupancy
Li1 0.142 0.358 0.000 1
Ir1 0.000 0.000 0.500 1
S1 0.171 0.671 0.500 1
```


DFT (GGA-PBE) results for LiIr2S4 after structural relaxation.

**Total magnetization**: 0.0 μB per formula unit
**Raw formation energy**: -0.5569 eV per atom

Geometry as CIF:
```
data_LiIr2S4
_cell_length_a 7.152
_cell_length_b 7.152
_cell_length_c 10.105
_cell_angle_alpha 90.00
_cell_angle_beta 90.00
_cell_angle_gamma 90.00
_space_group_name_H-M_alt 'I 41/a m d'
_space_group_IT_number 141
loop_
_space_group_symop_operation_xyz
'x,y,z'
'-x,-y,-z'
'-y+1/4,x+3/4,z+1/4'
'y+1/4,-x+3/4,-z+1/4'
'-x+1/2,-y,z+1/2'
'x+1/2,y,-z+1/2'
'y+1/4,-x+1/4,z+3/4'
'-y+1/4,x+1/4,-z+3/4'
'x,-y,-z'
'-x,y,z'
'-y+1/4,-x+1/4,-z+3/4'
'y+1/4,x+1/4,z+3/4'
'-x+1/2,y,-z+1/2'
'x+1/2,-y,z+1/2'
'y+1/4,x+3/4,-z+1/4'
'-y+1/4,-x+3/4,z+1/4'
'x+1/2,y+1/2,z+1/2'
'-x+1/2,-y+1/2,-z+1/2'
'-y+3/4,x+1/4,z+3/4'
'y+3/4,-x+1/4,-z+3/4'
'-x,-y+1/2,z'
'x,y+1/2,-z'
'y+3/4,-x+3/4,z+1/4'
'-y+3/4,x+3/4,-z+1/4'
'x+1/2,-y+1/2,-z+1/2'
'-x+1/2,y+1/2,z+1/2'
'-y+3/4,-x+3/4,-z+1/4'
'y+3/4,x+3/4,z+1/4'
'-x,y+1/2,-z'
'x,-y+1/2,z'
'y+3/4,x+1/4,-z+3/4'
'-y+3/4,-x+1/4,z+3/4'
loop_
_atom_site_label
_atom_site_fract_x
_atom_site_fract_y
_atom_site_fract_z
_atom_site_occupancy
Li1 0.000 0.250 0.375 1
Ir1 0.000 0.000 0.000 1
S1 0.000 0.029 0.764 1
```


DFT (GGA-PBE) results for LiIr5S8 after structural relaxation.

**Total magnetization**: 0.0 μB per formula unit
**Raw formation energy**: -0.3732 eV per atom

Geometry as CIF:
```
data_LiIr5S8
_cell_length_a 9.990
_cell_length_b 9.990
_cell_length_c 9.990
_cell_angle_alpha 90.00
_cell_angle_beta 90.00
_cell_angle_gamma 90.00
_space_group_name_H-M_alt 'F -4 3 m'
_space_group_IT_number 216
_space_group_name_Hall 'F -4 2 3'
loop_
_atom_site_label
_atom_site_fract_x
_atom_site_fract_y
_atom_site_fract_z
_atom_site_occupancy
Li1 0.000 0.000 0.000 1
Ir1 0.127 0.127 0.627 1
Ir2 0.250 0.250 0.250 1
S1 0.115 0.115 0.385 1
S2 0.138 0.138 0.862 1
```


DFT (GGA-PBE) results for LiIr3S after structural relaxation.

**Total magnetization**: 0.0 μB per formula unit
**Raw formation energy**: 1.4065 eV per atom
**Energy above the most stable polymorph in this dataset**: 0.861 eV/atom

Geometry as CIF:
```
data_LiIr3S
_cell_length_a 4.174
_cell_length_b 4.174
_cell_length_c 4.174
_cell_angle_alpha 90.00
_cell_angle_beta 90.00
_cell_angle_gamma 90.00
_space_group_name_H-M_alt 'P m -3 m'
_space_group_IT_number 221
_space_group_name_Hall '-P 4 2 3'
loop_
_atom_site_label
_atom_site_fract_x
_atom_site_fract_y
_atom_site_fract_z
_atom_site_occupancy
Li1 0.000 0.000 0.000 1
Ir1 0.000 0.000 0.500 1
S1 0.500 0.500 0.500 1
```


DFT (GGA-PBE) results for LiIr3S after structural relaxation.

**Total magnetization**: 0.0 μB per formula unit
**Raw formation energy**: 0.5459 eV per atom
**Energy above the most stable polymorph in this dataset**: 0.000 eV/atom

Geometry as CIF:
```
data_LiIr3S
_cell_length_a 4.388
_cell_length_b 4.388
_cell_length_c 4.388
_cell_angle_alpha 90.00
_cell_angle_beta 90.00
_cell_angle_gamma 90.00
_space_group_name_H-M_alt 'P m -3 m'
_space_group_IT_number 221
_space_group_name_Hall '-P 4 2 3'
loop_
_atom_site_label
_atom_site_fract_x
_atom_site_fract_y
_atom_site_fract_z
_atom_site_occupancy
Li1 0.000 0.000 0.000 1
Ir1 0.000 0.500 0.500 1
S1 0.500 0.500 0.500 1
```


DFT (GGA-PBE) results for Li2IrSeS after structural relaxation.

**Total magnetization**: 0.0 μB per formula unit
**Raw formation energy**: 0.0490 eV per atom

Geometry as CIF:
```
data_Li2IrSeS
_cell_length_a 4.561
_cell_length_b 4.561
_cell_length_c 4.652
_cell_angle_alpha 90.00
_cell_angle_beta 90.00
_cell_angle_gamma 90.00
_space_group_name_H-M_alt 'P 4/m m m'
_space_group_IT_number 123
_space_group_name_Hall '-P 4 2'
loop_
_atom_site_label
_atom_site_fract_x
_atom_site_fract_y
_atom_site_fract_z
_atom_site_occupancy
Li1 0.000 0.500 0.000 1
Ir1 0.000 0.000 0.500 1
Se1 0.000 0.000 0.000 1
S1 0.500 0.500 0.500 1
```


- total magnetization of number 8 (LiIr2S4)?
  0.0 μB per formula unit


What did the eighth record say?
DFT (GGA-PBE) results for LiIr2S4 after structural relaxation.

**Total magnetization**: 0.0 μB per formula unit
**Raw formation energy**: -0.5569 eV per atom

Geometry as CIF:
```
data_LiIr2S4
_cell_length_a 7.152
_cell_length_b 7.152
_cell_length_c 10.105
_cell_angle_alpha 90.00
_cell_angle_beta 90.00
_cell_angle_gamma 90.00
_space_group_name_H-M_alt 'I 41/a m d'
_space_group_IT_number 141
loop_
_space_group_symop_operation_xyz
'x,y,z'
'-x,-y,-z'
'-y+1/4,x+3/4,z+1/4'
'y+1/4,-x+3/4,-z+1/4'
'-x+1/2,-y,z+1/2'
'x+1/2,y,-z+1/2'
'y+1/4,-x+1/4,z+3/4'
'-y+1/4,x+1/4,-z+3/4'
'x,-y,-z'
'-x,y,z'
'-y+1/4,-x+1/4,-z+3/4'
'y+1/4,x+1/4,z+3/4'
'-x+1/2,y,-z+1/2'
'x+1/2,-y,z+1/2'
'y+1/4,x+3/4,-z+1/4'
'-y+1/4,-x+3/4,z+1/4'
'x+1/2,y+1/2,z+1/2'
'-x+1/2,-y+1/2,-z+1/2'
'-y+3/4,x+1/4,z+3/4'
'y+3/4,-x+1/4,-z+3/4'
'-x,-y+1/2,z'
'x,y+1/2,-z'
'y+3/4,-x+3/4,z+1/4'
'-y+3/4,x+3/4,-z+1/4'
'x+1/2,-y+1/2,-z+1/2'
'-x+1/2,y+1/2,z+1/2'
'-y+3/4,-x+3/4,-z+1/4'
'y+3/4,x+3/4,z+1/4'
'-x,y+1/2,-z'
'x,-y+1/2,z'
'y+3/4,x+1/4,-z+3/4'
'-y+3/4,-x+1/4,z+3/4'
loop_
_atom_site_label
_atom_site_fract_x
_atom_site_fract_y
_atom_site_fract_z
_atom_site_occupancy
Li1 0.000 0.250 0.375 1
Ir1 0.000 0.000 0.000 1
S1 0.000 0.029 0.764 1
```